[1]
Density functional theory data (PBE) for crystalline BaTaIn2 at its relaxed geometry.

Structure (CIF):
```
data_BaTaIn2
_chemical_formula_sum 'Ba1 Ta1 In2'
_space_group_name_H-M_alt 'P 4/m m m'
_space_group_IT_number 123
_space_group_name_Hall '-P 4 2'
_cell_length_a 3.7372
_cell_length_b 3.7372
_cell_length_c 7.8453
_cell_angle_alpha 90.00
_cell_angle_beta 90.00
_cell_angle_gamma 90.00
loop_
_atom_site_label
_atom_site_fract_x
_atom_site_fract_y
_atom_site_fract_z
_atom_site_occupancy
Ba1 0.0000 0.0000 0.0000 1
Ta1 0.0000 0.0000 0.5000 1
In1 0.5000 0.5000 0.3134 1
```

E_tot in eV per atom: -4.597
Energy relative to the elements in eV/atom: 0.216

***

[2]
Density functional theory data (PBE) for crystalline Dy3NpCo8 at its relaxed geometry.

Structure (CIF):
```
data_Dy3NpCo8
_chemical_formula_sum 'Dy9 Np3 Co24'
_space_group_name_H-M_alt 'R 3 m'
_space_group_IT_number 160
_space_group_name_Hall 'R 3 -2"'
_cell_length_a 5.0456
_cell_length_b 5.0456
_cell_length_c 24.6749
_cell_angle_alpha 90.00
_cell_angle_beta 90.00
_cell_angle_gamma 120.00
loop_
_atom_site_label
_atom_site_fract_x
_atom_site_fract_y
_atom_site_fract_z
_atom_site_occupancy
Dy1 0.0000 0.0000 0.0000 1
Dy2 0.0000 0.0000 0.1253 1
Dy3 0.0000 0.0000 0.5002 1
Np1 0.0000 0.0000 0.6251 1
Co1 0.0000 0.0000 0.3122 1
Co2 0.0000 0.0000 0.8124 1
Co3 0.0003 0.5002 0.5635 1
Co4 0.1679 0.3359 0.3949 1
```

E_tot in eV per atom: -7.119
Energy relative to the elements in eV/atom: -0.153